# 1
An optimized crystal structure of KHg2Pt, computed with PBE-GGA.

a = 4.286 Å, b = 5.177 Å, c = 4.356 Å
α = 90.00°, β = 90.00°, γ = 90.00°
Element x y z (fractional)
1 Hg 0.000 0.000 0.000
2 Hg 0.500 0.500 0.000
3 K 0.500 0.000 0.500
4 Pt 0.000 0.500 0.500

Excess energy over the best structure of this formula in the dataset ... 0.3079 eV per atom


# 2
An optimized crystal structure of ScPa4Tc5, computed with PBE-GGA.

a = 3.405 Å, b = 3.405 Å, c = 17.048 Å
α = 90.00°, β = 90.00°, γ = 90.00°
Element x y z (fractional)
1 Sc 0.000 0.000 0.000
2 Pa 0.000 0.000 0.191
3 Pa 0.000 0.000 0.398
4 Pa 0.000 0.000 0.602
5 Pa 0.000 0.000 0.809
6 Tc 0.500 0.500 0.102
7 Tc 0.500 0.500 0.290
8 Tc 0.500 0.500 0.500
9 Tc 0.500 0.500 0.710
10 Tc 0.500 0.500 0.898

Calculated total energy ... -9.8245 eV per atom


# 3
An optimized crystal structure of ZnSbMo2, computed with PBE-GGA.

a = 9.097 Å, b = 9.097 Å, c = 9.097 Å
α = 19.80°, β = 19.80°, γ = 19.80°
Element x y z (fractional)
1 Mo 0.994 0.994 0.994
2 Mo 0.259 0.259 0.259
3 Sb 0.506 0.506 0.506
4 Zn 0.741 0.741 0.741

E_form (uncorrected) ... 276 meV/atom
Excess energy over the best structure of this formula in the dataset ... 0.1575 eV per atom


Number 1: Fermi-level density of states 1.5 states/eV/f.u., density 10.92 Mg/m³, magnetic moment 0.00 μB per formula unit. Number 2: Fermi-level density of states 10.6 states/eV/f.u., density 12.26 Mg/m³, magnetic moment 0.00 μB per formula unit. Number 3: Fermi-level density of states 2.3 states/eV/f.u., density 8.33 Mg/m³, magnetic moment 0.00 μB per formula unit.